First-principles (GGA-PBE) data for Ta11Re2 after structural relaxation, as listed in the Open Quantum Materials Database.

a = 10.0351 Å, b = 10.0351 Å, c = 10.0351 Å
α = 30.90°, β = 30.90°, γ = 30.90°
Fractional coordinates of all 13 atoms:
Re: 0.4565 0.4565 0.4565
Re: 0.5435 0.5435 0.5435
Ta: 0.0000 0.0000 0.0000
Ta: 0.5852 0.0891 0.0891
Ta: 0.0891 0.5852 0.0891
Ta: 0.1675 0.1675 0.1675
Ta: 0.3514 0.3514 0.3514
Ta: 0.9109 0.9109 0.4148
Ta: 0.0891 0.0891 0.5852
Ta: 0.6486 0.6486 0.6486
Ta: 0.8325 0.8325 0.8325
Ta: 0.9109 0.4148 0.9109
Ta: 0.4148 0.9109 0.9109

## Properties
Space group: R-3m, No. 166
Calculated volume in A^3/atom: 18.185
Energy above the most stable polymorph in this dataset in meV/atom: 0
Electronic total energy in eV per atom: -11.836
Formation energy from the elements in eV/f.u.: 1.4

First-principles (GGA-PBE) data for Ta3Re10 after structural relaxation, as listed in the Open Quantum Materials Database.

a = 9.5805 Å, b = 9.5805 Å, c = 9.5805 Å
α = 31.12°, β = 31.12°, γ = 31.12°
Fractional coordinates of all 13 atoms:
Re: 0.5807 0.0863 0.0863
Re: 0.0863 0.5807 0.0863
Re: 0.1668 0.1668 0.1668
Re: 0.9137 0.9137 0.4193
Re: 0.4529 0.4529 0.4529
Re: 0.5471 0.5471 0.5471
Re: 0.0863 0.0863 0.5807
Re: 0.8332 0.8332 0.8332
Re: 0.9137 0.4193 0.9137
Re: 0.4193 0.9137 0.9137
Ta: 0.0000 0.0000 0.0000
Ta: 0.3487 0.3487 0.3487
Ta: 0.6513 0.6513 0.6513

## Properties
Space group: R-3m, No. 166
Calculated volume in A^3/atom: 16.033
Energy above the most stable polymorph in this dataset in meV/atom: 0
Electronic total energy in eV per atom: -12.282
Formation energy from the elements in eV/f.u.: 0.1

Number 1: spin magnetization 0.0 μB/cell. Number 2: spin magnetization 0.0 μB/cell.